No. 1
The following is a DFT calculation (PBE) of Pm3PrSn12 after structural relaxation.

Energy (eV for the cell shown): -75.0
E_form (meV/atom): -497
N(E_F) (states/eV per cell): 9.39
Space-group type: No. 123

a b c (Å): 4.7878 4.7878 18.8809
angles (deg): 90.00 90.00 90.00
With the nearest neighbours (Å) after each atom.
Fractional positions:
Sn: 0.0000 0.5000 0.1268  2 Pm 3.35, 8 Sn 3.36-3.39, 2 Pr 3.39
Sn: 0.5000 0.0000 0.3757  8 Sn 3.35-3.39, 4 Pm 3.35
Sn: 0.5000 0.5000 0.7487  8 Sn 3.35-3.36, 4 Pm 3.39
Sn: 0.5000 0.0000 0.6243  8 Sn 3.35-3.39, 4 Pm 3.35
Sn: 0.0000 0.5000 0.3757  8 Sn 3.35-3.39, 4 Pm 3.35
Sn: 0.5000 0.5000 0.0000  8 Sn 3.39, 4 Pr 3.39
Sn: 0.5000 0.0000 0.8732  2 Pm 3.35, 8 Sn 3.36-3.39, 2 Pr 3.39
Sn: 0.5000 0.0000 0.1268  2 Pm 3.35, 8 Sn 3.36-3.39, 2 Pr 3.39
Sn: 0.5000 0.5000 0.2513  8 Sn 3.35-3.36, 4 Pm 3.39
Sn: 0.0000 0.5000 0.6243  4 Pm 3.35, 8 Sn 3.35-3.39
Sn: 0.0000 0.5000 0.8732  2 Pm 3.35, 8 Sn 3.36-3.39, 2 Pr 3.39
Sn: 0.5000 0.5000 0.5000  8 Sn 3.35, 4 Pm 3.39
Pm: 0.0000 0.0000 0.7487  12 Sn 3.35-3.39
Pm: 0.0000 0.0000 0.5000  12 Sn 3.35-3.39
Pm: 0.0000 0.0000 0.2513  12 Sn 3.35-3.39
Pr: 0.0000 0.0000 0.0000  12 Sn 3.39

***

No. 2
The following is a DFT calculation (PBE) of TcP3 after structural relaxation.

Energy above the most stable polymorph in this dataset (meV per atom): 467
Energy (eV for the cell shown): -26.5
E_form (meV/atom): 21
N(E_F) (states/eV per cell): 2.13
Space-group type: No. 187

a b c (Å): 3.1899 3.1899 6.5446
angles (deg): 90.00 90.00 120.00
With the nearest neighbours (Å) after each atom.
Fractional positions:
P: 0.0000 0.0000 0.9962  3 Tc 2.45, 3 P 2.48
P: 0.6667 0.3333 0.2500  6 P 2.48
P: 0.0000 0.0000 0.5038  3 Tc 2.45, 3 P 2.48
Tc: 0.6667 0.3333 0.7500  6 P 2.45

***

No. 3
The following is a DFT calculation (PBE) of BaPu2PaS8 after structural relaxation.

ΔE_f (raw) (eV/atom): -1.352
Energy (eV for the cell shown): -89.3
N(E_F) (states/eV per cell): 17.15
Space-group type: No. 10

a b c (Å): 6.4238 6.2572 8.4859
angles (deg): 90.00 90.00 89.13
With the nearest neighbours (Å) after each atom.
Fractional positions:
Ba: 0.0000 0.0000 0.5000  6 S 3.06-3.11
S: 0.1644 0.7529 0.7868  1 Pa 2.59, 1 Pu 2.67
S: 0.1644 0.7529 0.2132  1 Pa 2.59, 1 Pu 2.67
S: 0.3949 0.2803 0.5000  2 Pu 2.65
S: 0.8356 0.2471 0.7868  1 Pa 2.59, 1 Pu 2.67
S: 0.6645 0.7218 0.0000  2 Pu 2.73, 1 Pa 2.79
S: 0.8356 0.2471 0.2132  1 Pa 2.59, 1 Pu 2.67
S: 0.3355 0.2782 0.0000  2 Pu 2.73, 1 Pa 2.79
S: 0.6051 0.7197 0.5000  2 Pu 2.65
Pa: 0.0000 0.0000 0.0000  6 S 2.59-2.79
Pu: 0.5000 0.5000 0.7538  6 S 2.65-2.73
Pu: 0.5000 0.5000 0.2462  6 S 2.65-2.73

***

No. 4
The following is a DFT calculation (PBE) of Pm2MgPd5 after structural relaxation.

Energy (eV for the cell shown): -42.9
E_form (meV/atom): -726
N(E_F) (states/eV per cell): 2.73
Space-group type: No. 107

a b c (Å): 5.9101 5.9101 5.9101
angles (deg): 99.80 114.51 114.51
With the nearest neighbours (Å) after each atom.
Fractional positions:
Pm: 0.5000 0.2592 0.7592  10 Pd 2.92-3.20
Pm: 0.5000 0.7592 0.2592  10 Pd 2.92-3.20
Pd: 0.4432 0.7400 0.7400  1 Mg 2.72, 3 Pd 2.83-2.88, 4 Pm 2.92-3.01
Pd: 0.0000 0.2460 0.2460  1 Mg 2.75, 8 Pd 2.88-3.06
Pd: 0.0000 0.2968 0.7400  1 Mg 2.72, 3 Pd 2.83-2.88, 4 Pm 2.92-3.01
Pd: 0.0000 0.7400 0.2968  1 Mg 2.72, 3 Pd 2.83-2.88, 4 Pm 2.92-3.01
Pd: 0.5568 0.2968 0.2968  1 Mg 2.72, 3 Pd 2.83-2.88, 4 Pm 2.92-3.01
Mg: 0.0000 0.8841 0.8841  5 Pd 2.72-2.75

***

No. 5
The following is a DFT calculation (PBE) of Tb3Sm6Sc after structural relaxation.

Energy above the most stable polymorph in this dataset (meV per atom): 139
Energy (eV for the cell shown): -45.7
E_form (meV/atom): 279
N(E_F) (states/eV per cell): 14.41
Space-group type: No. 12

a b c (Å): 8.3761 8.9921 6.2393
angles (deg): 98.39 132.16 90.00
With the nearest neighbours (Å) after each atom.
Fractional positions:
Sm: 0.9333 0.3560 0.2372  2 Sm 3.10-3.36, 1 Sc 3.22, 2 Tb 3.23-3.45
Sm: 0.6202 0.8698 0.2404  1 Sc 3.29, 3 Tb 3.48-3.66, 1 Sm 3.53
Sm: 0.3798 0.1302 0.7596  1 Sc 3.29, 3 Tb 3.48-3.66, 1 Sm 3.53
Sm: 0.6962 0.6440 0.7628  2 Sm 3.10-3.36, 1 Sc 3.22, 2 Tb 3.23-3.45
Sm: 0.0667 0.6440 0.7628  2 Sm 3.10-3.36, 1 Sc 3.22, 2 Tb 3.23-3.45
Sm: 0.3038 0.3560 0.2372  2 Sm 3.10-3.36, 1 Sc 3.22, 2 Tb 3.23-3.45
Tb: 0.0000 0.0000 0.0000  2 Tb 3.38, 6 Sm 3.48-3.53
Tb: 0.7803 0.2594 0.5605  5 Sm 3.23-3.52, 1 Tb 3.38
Tb: 0.2197 0.7406 0.4395  5 Sm 3.23-3.52, 1 Tb 3.38
Sc: 0.5000 0.5000 0.0000  6 Sm 3.22-3.29

***

No. 6
The following is a DFT calculation (PBE) of BaCaI after structural relaxation.

Energy above the most stable polymorph in this dataset (meV per atom): 278
ΔE_f (raw) (eV/atom): -0.554
Energy (eV for the cell shown): -7.1
N(E_F) (states/eV per cell): 2.21
Space-group type: No. 156

a b c (Å): 4.5380 5.8292 5.8292
angles (deg): 120.00 90.00 90.00
With the nearest neighbours (Å) after each atom.
Fractional positions:
Ba: 0.6662 0.6667 0.3333  6 I 4.05-4.06, 6 Ca 4.06, 2 Ba 4.54
Ca: 0.1661 0.3333 0.6667  3 I 3.37
I: 0.1677 0.0000 0.0000  3 Ca 3.37

***

No. 7
The following is a DFT calculation (PBE) of ScAg2As after structural relaxation.

Energy (eV for the cell shown): -18.0
E_form (meV/atom): -322
N(E_F) (states/eV per cell): 1.68
Space-group type: No. 99

a b c (Å): 3.6860 3.6860 6.0128
angles (deg): 90.00 90.00 90.00
With the nearest neighbours (Å) after each atom.
Fractional positions:
Ag: 0.0000 0.0000 0.0271  1 As 2.75, 4 Ag 2.81
Ag: 0.5000 0.5000 0.2023  4 Ag 2.81, 2 Sc 3.00-3.02
As: 0.0000 0.0000 0.5701  4 Sc 2.72, 1 Ag 2.75
Sc: 0.5000 0.5000 0.7005  4 As 2.72, 2 Ag 3.00-3.02

***

No. 8
The following is a DFT calculation (PBE) of CaAc7Sn4 after structural relaxation.

Energy (eV for the cell shown): -49.7
E_form (meV/atom): -245
N(E_F) (states/eV per cell): 9.93
Space-group type: No. 12

a b c (Å): 6.2379 10.0830 8.4278
angles (deg): 77.87 68.28 71.98
With the nearest neighbours (Å) after each atom.
Fractional positions:
Ac: 0.3126 0.6130 0.7618  4 Sn 3.26-3.46
Ac: 0.2097 0.1116 0.4690  3 Ac 3.49-3.78, 4 Sn 3.51-3.62
Ac: 0.5000 0.0000 0.0000  2 Ca 3.12, 4 Sn 3.25-3.46
Ac: 0.0591 0.6253 0.2565  3 Sn 3.34-3.54, 1 Ac 3.49
Ac: 0.7903 0.8884 0.5310  3 Ac 3.49-3.78, 4 Sn 3.51-3.62
Ac: 0.6874 0.3870 0.2382  4 Sn 3.26-3.46
Ac: 0.9409 0.3747 0.7435  3 Sn 3.34-3.54, 1 Ac 3.49
Sn: 0.4342 0.7640 0.3675  7 Ac 3.26-3.62, 1 Sn 3.63
Sn: 0.5658 0.2360 0.6325  7 Ac 3.26-3.62, 1 Sn 3.63
Sn: 0.3011 0.3282 0.0696  6 Ac 3.25-3.56, 1 Sn 3.63
Sn: 0.6989 0.6718 0.9304  6 Ac 3.25-3.56, 1 Sn 3.63
Ca: 0.0000 0.0000 0.0000  2 Ac 3.12

***

- The highest energy belongs to which entry?
  BaCaI